No. 1
VMo PBE optimized geometry; Fermi-level density of states = 6.4 states/eV/cell; energy relative to the elements = 1.5 eV/f.u.; total energy = -9.20 eV per atom
1.0
5.023 0.000 0.000
0.000 5.023 0.000
0.000 0.000 5.045
V Mo
4 4
Cartesian
1.033 1.033 0.000
1.479 3.544 2.522
3.544 1.479 2.522
3.991 3.991 0.000
1.058 1.058 2.522
1.454 3.569 0.000
3.569 1.454 0.000
3.966 3.966 2.522



No. 2
VMo5 PBE optimized geometry; Fermi-level density of states = 3.0 states/eV/cell; energy relative to the elements = -0.5 eV/f.u.; total energy = -10.64 eV per atom
1.0
2.220 -4.701 0.000
2.220 4.701 0.000
0.000 0.000 4.440
V Mo
1 5
Cartesian
0.000 0.000 0.000
2.220 3.146 2.220
2.220 1.566 0.000
2.220 0.000 2.220
2.220 -1.566 0.000
2.220 -3.146 2.220



No. 3
VMo2 PBE optimized geometry; Fermi-level density of states = 3.7 states/eV/cell; energy relative to the elements = -0.3 eV/f.u.; total energy = -10.38 eV per atom
1.0
4.929 -1.556 0.000
4.929 1.556 0.000
-2.017 0.000 5.873
V Mo
2 4
Cartesian
1.474 0.000 0.482
6.367 0.000 5.391
0.471 0.000 3.449
4.425 0.000 1.437
3.416 0.000 4.436
7.370 0.000 2.424



No. 4
V3Mo2 PBE optimized geometry; Fermi-level density of states = 24.9 states/eV/cell; energy relative to the elements = 1.5 eV/f.u.; total energy = -9.50 eV per atom
1.0
6.626 0.000 0.000
0.000 9.850 0.000
0.000 0.000 4.617
V Mo
12 8
Cartesian
0.000 0.123 1.154
0.000 9.727 3.463
0.969 4.264 0.023
0.969 5.586 2.331
2.344 0.661 2.331
2.344 9.189 0.023
3.313 4.802 3.463
3.313 5.048 1.154
4.283 0.661 4.594
4.283 9.189 2.286
5.657 4.264 2.286
5.657 5.586 4.594
0.876 2.632 2.340
0.876 7.218 0.032
2.437 2.293 0.032
2.437 7.557 2.340
4.189 2.293 2.277
4.189 7.557 4.585
5.750 2.632 4.585
5.750 7.218 2.277



No. 5
V5Mo4 PBE optimized geometry; Fermi-level density of states = 9.3 states/eV/cell; energy relative to the elements = -1.0 eV/f.u.; total energy = -9.99 eV per atom
1.0
4.832 -4.601 0.000
4.832 4.601 0.000
-0.936 0.000 2.927
V Mo
5 4
Cartesian
0.000 0.000 0.000
2.926 0.000 0.984
4.832 1.515 0.000
4.832 -1.515 0.000
5.801 0.000 1.944
5.817 -3.068 1.951
2.910 3.068 0.976
5.817 3.068 1.951
2.910 -3.068 0.976



No. 6
VMo6 PBE optimized geometry; Fermi-level density of states = 3.2 states/eV/cell; energy relative to the elements = -0.6 eV/f.u.; total energy = -10.67 eV per atom
1.0
2.221 1.282 6.351
-2.221 1.282 6.351
0.000 -2.564 6.351
V Mo
1 6
Cartesian
0.000 0.000 0.000
0.000 0.000 2.712
0.000 0.000 5.455
0.000 0.000 8.141
0.000 0.000 10.913
0.000 0.000 13.599
0.000 0.000 16.343



No. 7
VMo2 PBE optimized geometry; Fermi-level density of states = 7.9 states/eV/cell; energy relative to the elements = 3.4 eV/f.u.; total energy = -9.12 eV per atom
1.0
6.165 0.000 0.000
0.000 6.165 0.000
0.000 0.000 2.827
V Mo
2 4
Cartesian
0.000 0.000 0.000
3.083 3.083 1.413
1.438 1.438 1.413
1.645 4.520 0.000
4.520 1.645 0.000
4.728 4.728 1.413



No. 8
VMo PBE optimized geometry; Fermi-level density of states = 14.7 states/eV/cell; energy relative to the elements = 4.2 eV/f.u.; total energy = -7.85 eV per atom
1.0
-3.909 3.909 3.909
3.909 -3.909 3.909
3.909 3.909 -3.909
V Mo
4 4
Cartesian
2.555 2.555 -2.555
2.555 -2.555 2.555
1.354 1.354 1.354
-2.555 2.555 2.555
0.985 0.985 -0.985
0.985 -0.985 0.985
-0.985 0.985 0.985
2.924 2.924 2.924



No. 9
V3Mo13 PBE optimized geometry; Fermi-level density of states = 8.9 states/eV/cell; energy relative to the elements = -1.3 eV/f.u.; total energy = -10.59 eV per atom
1.0
6.271 0.000 0.000
0.000 4.426 4.438
0.000 -4.426 4.438
V Mo
3 13
Cartesian
0.000 0.000 0.000
1.564 0.000 2.211
4.707 0.000 2.211
0.000 -2.184 2.214
0.000 2.184 2.214
0.000 0.000 4.414
1.559 -2.228 4.435
1.561 0.000 6.661
1.559 2.228 4.435
3.136 0.000 0.025
3.136 -2.189 2.219
3.136 2.189 2.219
3.136 0.000 4.421
4.713 -2.228 4.435
4.710 0.000 6.661
4.713 2.228 4.435



No. 10
VMo PBE optimized geometry; Fermi-level density of states = 7.9 states/eV/cell; energy relative to the elements = 2.8 eV/f.u.; total energy = -8.58 eV per atom
1.0
4.178 0.000 0.000
-2.089 3.618 0.000
0.000 0.000 5.079
V Mo
2 2
Cartesian
0.000 2.412 1.270
2.089 1.206 3.809
0.000 2.412 3.809
2.089 1.206 1.270



No. 11
VMo PBE optimized geometry; Fermi-level density of states = 3.7 states/eV/cell; energy relative to the elements = 4.5 eV/f.u.; total energy = -7.74 eV per atom
1.0
0.000 2.748 2.748
2.748 0.000 2.748
2.748 2.748 0.000
V Mo
1 1
Cartesian
0.000 0.000 0.000
4.122 4.122 4.122



No. 12
V8Mo3 PBE optimized geometry; Fermi-level density of states = 12.8 states/eV/cell; energy relative to the elements = -0.1 eV/f.u.; total energy = -9.60 eV per atom
1.0
13.762 -2.170 0.000
13.762 2.170 0.000
-0.181 0.000 2.612
V Mo
8 3
Cartesian
1.158 0.000 0.976
6.192 0.000 1.724
8.661 0.000 0.093
11.198 0.000 0.734
16.145 0.000 1.878
18.683 0.000 2.519
21.151 0.000 0.888
26.185 0.000 1.636
3.741 0.000 0.586
13.762 0.000 0.000
23.602 0.000 2.026



No. 13
VMo PBE optimized geometry; Fermi-level density of states = 3.4 states/eV/cell; energy relative to the elements = -0.3 eV/f.u.; total energy = -10.11 eV per atom
1.0
-1.538 2.148 4.416
1.538 -2.148 4.416
1.538 2.148 -4.416
V Mo
2 2
Cartesian
0.000 1.074 1.090
1.538 1.074 3.325
1.538 1.074 -1.109
0.000 1.074 5.525



No. 14
V4Mo PBE optimized geometry; Fermi-level density of states = 12.8 states/eV/cell; energy relative to the elements = 1.5 eV/f.u.; total energy = -9.17 eV per atom
1.0
4.630 0.000 0.000
0.000 7.393 0.000
-1.245 0.000 4.301
V Mo
8 2
Cartesian
0.687 1.284 0.327
0.065 6.109 2.477
0.465 3.035 2.274
1.088 4.358 0.123
2.297 3.035 4.177
2.920 4.358 2.027
3.320 1.284 1.824
2.698 6.109 3.974
1.381 0.894 3.226
2.004 6.500 1.075



No. 15
V13Mo3 PBE optimized geometry; Fermi-level density of states = 29.1 states/eV/cell; energy relative to the elements = -0.8 eV/f.u.; total energy = -9.49 eV per atom
1.0
6.064 0.000 0.000
0.000 4.230 4.335
0.000 -4.230 4.335
V Mo
13 3
Cartesian
0.000 0.000 0.000
0.000 -2.115 2.197
0.000 2.115 2.197
0.000 0.000 4.399
1.510 -2.119 4.361
1.508 0.000 6.507
1.510 2.119 4.361
3.032 -2.114 2.185
3.032 2.114 2.185
3.032 0.000 4.387
4.553 -2.119 4.361
4.555 0.000 6.507
4.553 2.119 4.361
1.509 0.000 2.214
3.032 0.000 8.653
4.555 0.000 2.214



No. 16
V6Mo PBE optimized geometry; Fermi-level density of states = 11.3 states/eV/cell; energy relative to the elements = -0.3 eV/f.u.; total energy = -9.40 eV per atom
1.0
5.635 3.253 0.879
-5.635 3.253 0.879
0.000 -6.506 0.879
V Mo
6 1
Cartesian
-3.998 -1.375 1.298
-0.808 -4.150 1.340
-3.190 2.774 1.340
3.190 -2.774 1.298
0.808 4.150 1.298
3.998 1.375 1.340
0.000 0.000 1.319



No. 17
V4Mo PBE optimized geometry; Fermi-level density of states = 9.0 states/eV/cell; energy relative to the elements = 3.7 eV/f.u.; total energy = -8.73 eV per atom
1.0
-2.517 2.517 3.134
2.517 -2.517 3.134
2.517 2.517 -3.134
V Mo
4 1
Cartesian
1.575 -1.575 2.252
0.942 0.942 0.882
-1.575 1.575 2.252
1.575 1.575 4.016
0.000 0.000 3.134



No. 18
VMo PBE optimized geometry; Fermi-level density of states = 30.1 states/eV/cell; energy relative to the elements = 4.9 eV/f.u.; total energy = -7.53 eV per atom
1.0
6.797 0.000 0.000
0.000 6.797 0.000
0.000 0.000 6.797
V Mo
6 6
Cartesian
0.000 1.699 3.398
0.000 5.097 3.398
1.699 3.398 0.000
3.398 0.000 1.699
3.398 0.000 5.097
5.097 3.398 0.000
0.000 3.398 1.699
0.000 3.398 5.097
1.699 0.000 3.398
3.398 1.699 0.000
3.398 5.097 0.000
5.097 0.000 3.398



No. 19
VMo PBE optimized geometry; Fermi-level density of states = 2.0 states/eV/cell; energy relative to the elements = -0.2 eV/f.u.; total energy = -10.08 eV per atom
1.0
1.546 -2.219 0.000
1.546 2.219 0.000
0.000 0.000 4.268
V Mo
1 1
Cartesian
0.000 0.000 0.000
1.546 0.000 2.134



No. 20
V3Mo13 PBE optimized geometry; Fermi-level density of states = 8.6 states/eV/cell; energy relative to the elements = -1.5 eV/f.u.; total energy = -10.60 eV per atom
1.0
8.862 0.000 0.000
0.000 3.132 4.435
0.000 -3.132 4.435
V Mo
3 13
Cartesian
0.000 0.000 0.000
2.203 0.000 2.190
6.659 0.000 2.190
0.000 -1.548 2.197
0.000 1.548 2.197
0.000 0.000 4.399
2.200 -1.576 4.417
2.202 0.000 6.643
2.200 1.576 4.417
4.431 0.000 8.868
4.431 -1.549 2.200
4.431 1.549 2.200
4.431 0.000 4.401
6.662 -1.576 4.417
6.660 0.000 6.643
6.662 1.576 4.417